1.
DFT (meta-GGA SCAN) results for a PBEsol-optimized structure of ZrCuP4.

Properties
* calculated total energy: -14.31 eV/atom
* theoretical density: 5298 kg/m³
* size of the total moment: 0.00 μB/f.u.
* space group: F-43m

Geometry as POSCAR:
```
ZrCuP4
1.0
4.980 0.000 0.000
2.490 4.313 0.000
2.490 1.438 4.066
Cu P Zr
1 4 1
Direct
0.000 0.000 0.000
0.626 0.626 0.121
0.121 0.626 0.626
0.626 0.121 0.626
0.626 0.626 0.626
0.250 0.250 0.250
```

=====

2.
DFT (meta-GGA SCAN) results for a PBEsol-optimized structure of SiAgBr2.

Properties
* distance to the lowest polymorph of the same formula: 0 meV per atom
* theoretical density: 4830 kg/m³
* size of the total moment: 0.00 μB/f.u.
* space group: C2/m

Geometry as POSCAR:
```
SiAgBr2
1.0
-3.332 -0.307 -1.316
-1.135 -1.961 3.331
0.480 7.223 2.010
Ag Br Si
1 2 1
Direct
0.000 0.500 0.000
0.851 0.852 0.701
0.149 0.148 0.299
0.500 0.000 0.000
```